LiCe2SmIn4 PBE-GGA relaxed; total DFT energy (no corrections) = -4.03 eV per atom; space group = R-3m (166); ΔH_f (0 K) = -352 meV per atom; mass density = 6.859 g/cm3; V = 217 Å³/cell
1.0
2.653 1.532 8.905
-2.653 1.532 8.905
0.000 -3.063 8.905
Li Ce Sm In
1 2 1 4
Direct
0.000 0.000 0.000 Li
0.255 0.255 0.255 Ce
0.745 0.745 0.745 Ce
0.500 0.500 0.500 Sm
0.123 0.123 0.123 In
0.373 0.373 0.373 In
0.627 0.627 0.627 In
0.877 0.877 0.877 In